[1]
A relaxed structure of Th2NiSn, computed with PBE.

Cell lengths 3.398, 3.398, 8.553 Å; angles 90.00, 90.00, 90.00 degrees
Element x y z (fractional)
Sn: 0.500 0.500 0.500
Ni: 0.500 0.500 0.000
Th: 0.000 0.000 0.214
Th: 0.000 0.000 0.786

Calculated values
For the total energy, the calculation gives -6.541 eV/atom. The energy above the most stable polymorph in this dataset comes out at 85 meV per atom. Its formation energy is -0.3847 eV per atom. Its space group is No. 123.



[2]
A relaxed structure of La3Pm2DyY6, computed with PBE.

Cell lengths 6.294, 6.294, 11.917 Å; angles 95.04, 95.04, 120.00 degrees
Element x y z (fractional)
Y: 0.251 0.251 0.753
Y: 0.749 0.749 0.247
Y: 0.585 0.918 0.754
Y: 0.918 0.585 0.754
Y: 0.082 0.415 0.246
Y: 0.415 0.082 0.246
La: 0.833 0.167 0.500
La: 0.167 0.833 0.500
La: 0.500 0.500 0.500
Dy: 0.000 0.000 0.000
Pm: 0.334 0.666 0.000
Pm: 0.666 0.334 0.000

Calculated values
For the total energy, the calculation gives -5.626 eV/atom. Its formation energy is 0.0131 eV per atom. Its space group is No. 12.



[3]
A relaxed structure of Ac2PPd6Pt, computed with PBE.

Cell lengths 5.493, 8.479, 7.105 Å; angles 47.80, 67.28, 90.01 degrees
Element x y z (fractional)
Pd: 0.746 0.223 0.998
Pd: 0.248 0.389 0.504
Pd: 0.257 0.223 0.997
Pd: 0.743 0.777 0.003
Pd: 0.752 0.611 0.496
Pd: 0.254 0.777 0.002
Ac: 0.222 0.755 0.557
Ac: 0.778 0.245 0.443
P: 0.000 0.000 0.000
Pt: 0.500 0.500 0.000

Calculated values
For the total energy, the calculation gives -5.852 eV/atom. Its formation energy is -0.7693 eV per atom. Its space group is No. 12.



[4]
A relaxed structure of ErUCdO6, computed with PBE.

Cell lengths 4.615, 5.788, 5.788 Å; angles 120.00, 90.00, 90.00 degrees
Element x y z (fractional)
O: 0.270 0.993 0.688
O: 0.730 0.696 0.688
O: 0.270 0.696 0.007
O: 0.730 0.312 0.007
O: 0.270 0.312 0.304
O: 0.730 0.993 0.304
Cd: 0.000 0.333 0.667
Er: 0.500 0.667 0.333
U: 0.500 0.000 0.000

Calculated values
For the total energy, the calculation gives -7.634 eV/atom. For the formation energy from raw total energies, the calculation gives -2.4661 eV per atom. Its space group is No. 149.



[5]
A relaxed structure of Ac2TlGa4Cu3, computed with PBE.

Cell lengths 4.454, 4.454, 10.727 Å; angles 90.00, 90.00, 90.00 degrees
Element x y z (fractional)
Ga: 0.000 0.500 0.348
Ga: 0.000 0.000 0.000
Ga: 0.500 0.000 0.652
Ga: 0.500 0.500 0.000
Tl: 0.500 0.500 0.500
Cu: 0.000 0.000 0.500
Cu: 0.000 0.500 0.117
Cu: 0.500 0.000 0.883
Ac: 0.500 0.000 0.238
Ac: 0.000 0.500 0.762

Calculated values
For the total energy, the calculation gives -3.858 eV/atom. Its formation energy is -0.3600 eV per atom. Its space group is No. 115.



[6]
A relaxed structure of HoUP, computed with PBE.

Cell lengths 5.384, 5.868, 8.643 Å; angles 90.00, 90.00, 90.00 degrees
Element x y z (fractional)
Ho: 0.000 0.258 0.144
Ho: 0.500 0.758 0.856
Ho: 0.000 0.742 0.144
Ho: 0.500 0.242 0.856
P: 0.500 0.500 0.144
P: 0.500 0.000 0.574
P: 0.000 0.000 0.856
P: 0.000 0.500 0.426
U: 0.500 0.000 0.264
U: 0.000 0.500 0.736
U: 0.000 0.000 0.527
U: 0.500 0.500 0.473

Calculated values
For the total energy, the calculation gives -7.445 eV/atom. Its formation energy is -0.3528 eV per atom. Its space group is No. 59.



[7]
A relaxed structure of TlCr2AgCl8, computed with PBE.

Cell lengths 6.718, 6.718, 9.089 Å; angles 90.00, 90.00, 120.00 degrees
Element x y z (fractional)
Tl: 0.000 0.000 0.000
Cl: 0.026 0.329 0.687
Cl: 0.667 0.333 0.014
Cl: 0.974 0.671 0.313
Cl: 0.303 0.974 0.687
Cl: 0.671 0.697 0.687
Cl: 0.697 0.026 0.313
Cl: 0.333 0.667 0.986
Cl: 0.329 0.303 0.313
Cr: 0.333 0.667 0.745
Cr: 0.667 0.333 0.255
Ag: 0.000 0.000 0.500

Calculated values
For the total energy, the calculation gives -4.084 eV/atom. For the formation energy from raw total energies, the calculation gives -0.8140 eV per atom. Its space group is No. 147.



[8]
A relaxed structure of LaTb2Y, computed with PBE.

Cell lengths 3.612, 3.612, 11.948 Å; angles 81.31, 81.31, 60.00 degrees
Element x y z (fractional)
Tb: 0.248 0.248 0.255
Tb: 0.752 0.752 0.745
Y: 0.500 0.500 0.500
La: 0.000 0.000 0.000

Calculated values
For the total energy, the calculation gives -5.142 eV/atom. The energy above the most stable polymorph in this dataset comes out at 14 meV per atom. Its formation energy is 0.0209 eV per atom. Its space group is No. 166.